Entry 1:
LiCoPO4 (meta-GGA SCAN, single point on PBEsol structure); formation energy from raw total energies = -2.149 eV/atom; offset from the most stable computed form = 0.079 eV per atom
1.0
-3.169 -2.720 1.057
-0.391 -1.267 -4.432
9.700 -10.472 2.138
Li Co P O
4 4 4 16
Direct
0.500 0.250 0.752 Li
0.500 0.750 0.248 Li
0.000 0.750 0.748 Li
0.000 0.250 0.252 Li
0.500 0.750 0.950 Co
0.500 0.250 0.050 Co
0.000 0.750 0.450 Co
0.000 0.250 0.550 Co
0.500 0.750 0.615 P
0.500 0.250 0.385 P
0.000 0.250 0.885 P
0.000 0.750 0.115 P
0.309 0.532 0.673 O
0.309 0.032 0.327 O
0.233 0.419 0.947 O
0.233 0.919 0.053 O
0.267 0.919 0.553 O
0.267 0.419 0.447 O
0.191 0.032 0.827 O
0.191 0.532 0.173 O
0.809 0.468 0.827 O
0.809 0.968 0.173 O
0.733 0.081 0.447 O
0.733 0.581 0.553 O
0.767 0.081 0.947 O
0.767 0.581 0.053 O
0.691 0.968 0.673 O
0.691 0.468 0.327 O

---

Entry 2:
OsRu3 (meta-GGA SCAN, single point on PBEsol structure); energy of formation = -0.014 eV/atom; D(E_F) = 0.75 states/eV per atom
1.0
2.698 0.000 0.000
0.000 4.261 0.000
0.000 0.000 4.674
Ru Os
3 1
Direct
0.000 0.500 0.335 Ru
0.500 0.000 0.499 Ru
0.500 0.500 0.832 Ru
0.000 0.000 0.002 Os